Computed, not measured: Pr2AgAs after structural relaxation at the PBE level of DFT.

Lattice parameters (Å, degrees): 8.0084 8.0084 8.0084 30.54 30.54 30.54
Positions (direct):
Pr1 0.0000 0.0000 0.0000
Pr2 0.1835 0.1835 0.1835
Ag1 0.4249 0.4249 0.4249
As1 0.5912 0.5912 0.5912

Computed properties:
For the total energy, the calculation gives -20.1 eV/cell.